TlAu2Se PBE relaxed; E_form (uncorrected) = 4.5 kJ/mol of atoms; symmetry = Pmmm, No. 47
1.0
4.349 0.000 0.000
0.000 4.189 0.034
0.000 -0.050 5.700
Au Se Tl
2 1 1
Direct
0.000 0.251 0.987
0.000 0.249 0.513
0.500 0.250 0.250
0.500 0.750 0.750